(1)
Density functional theory data (PBE) for crystalline Hf2MoPbCl at its relaxed geometry.

Summary:
- SG: P4/mmm
- ρ: 7.387 g/cm3
- Total magnetization: 0.506 μB/atom
- Raw formation energy: 1.812 eV/atom
- Crystal system: tetragonal

a = 5.4973 Å, b = 5.4973 Å, c = 5.1739 Å
α = 90.00°, β = 90.00°, γ = 90.00°
With the nearest neighbours (Å) after each atom.
Positions (direct):
Hf: 0.0000 0.5000 0.0000  2 Pb 2.75
Hf: 0.5000 0.0000 0.0000  2 Pb 2.75
Mo: 0.0000 0.0000 0.5000  8 Hf 3.77, 4 Cl 3.89
Pb: 0.5000 0.5000 0.0000  2 Cl 2.59, 4 Hf 2.75
Cl: 0.5000 0.5000 0.5000  2 Pb 2.59



(2)
Density functional theory data (PBE) for crystalline HfMoPdCl2 at its relaxed geometry.

Summary:
- SG: P4/mmm
- ρ: 6.775 g/cm3
- Total magnetization: 0.129 μB/atom
- Raw formation energy: 0.561 eV/atom
- Crystal system: tetragonal

a = 4.4837 Å, b = 4.4837 Å, c = 5.5079 Å
α = 90.00°, β = 90.00°, γ = 90.00°
With the nearest neighbours (Å) after each atom.
Positions (direct):
Hf: 0.0000 0.0000 0.0000  4 Pd 3.17
Mo: 0.5000 0.5000 0.5000  4 Cl 2.24
Pd: 0.5000 0.5000 0.0000  2 Mo 2.75
Cl: 0.0000 0.5000 0.5000  2 Mo 2.24
Cl: 0.5000 0.0000 0.5000  2 Mo 2.24



(3)
Density functional theory data (PBE) for crystalline HfMo2PdCl at its relaxed geometry.

Summary:
- SG: P4/mmm
- ρ: 9.434 g/cm3
- Total magnetization: 0.000 μB/atom
- Raw formation energy: 0.693 eV/atom
- Crystal system: tetragonal

a = 4.3811 Å, b = 4.3811 Å, c = 4.6976 Å
α = 90.00°, β = 90.00°, γ = 90.00°
With the nearest neighbours (Å) after each atom.
Positions (direct):
Hf: 0.0000 0.0000 0.0000  2 Cl 2.35
Mo: 0.0000 0.5000 0.5000  2 Cl 2.19
Mo: 0.5000 0.0000 0.5000  2 Cl 2.19
Pd: 0.5000 0.5000 0.0000  4 Hf 3.10, 8 Mo 3.21
Cl: 0.0000 0.0000 0.5000  4 Mo 2.19, 2 Hf 2.35



(4)
Density functional theory data (PBE) for crystalline HfMoS2Cl at its relaxed geometry.

Summary:
- ΔE to the lowest computed polymorph: 360 meV/atom
- SG: P4/mmm
- ρ: 6.014 g/cm3
- Total magnetization: 0.427 μB/atom
- Raw formation energy: 0.245 eV/atom
- Crystal system: tetragonal

a = 4.6876 Å, b = 4.6876 Å, c = 4.6996 Å
α = 90.00°, β = 90.00°, γ = 90.00°
With the nearest neighbours (Å) after each atom.
Positions (direct):
Hf: 0.0000 0.0000 0.0000  4 Cl 3.31, 8 S 3.32
Mo: 0.5000 0.5000 0.5000  4 S 2.34, 2 Cl 2.35
S: 0.0000 0.5000 0.5000  2 Mo 2.34
S: 0.5000 0.0000 0.5000  2 Mo 2.34
Cl: 0.5000 0.5000 0.0000  2 Mo 2.35



(5)
Density functional theory data (PBE) for crystalline HfMoS2Cl at its relaxed geometry.

Summary:
- ΔE to the lowest computed polymorph: 0 meV/atom
- SG: P4/mmm
- ρ: 5.148 g/cm3
- Total magnetization: 0.972 μB/atom
- Raw formation energy: -0.115 eV/atom
- Crystal system: tetragonal

a = 4.9570 Å, b = 4.9570 Å, c = 4.9095 Å
α = 90.00°, β = 90.00°, γ = 90.00°
With the nearest neighbours (Å) after each atom.
Positions (direct):
Hf: 0.0000 0.0000 0.0000  2 Cl 2.45, 4 S 2.48
Mo: 0.5000 0.5000 0.5000  8 S 3.49, 4 Cl 3.51
S: 0.0000 0.5000 0.0000  2 Hf 2.48
S: 0.5000 0.0000 0.0000  2 Hf 2.48
Cl: 0.0000 0.0000 0.5000  2 Hf 2.45



(6)
Density functional theory data (PBE) for crystalline SrHfMoCl2 at its relaxed geometry.

Summary:
- SG: P4/mmm
- ρ: 4.893 g/cm3
- Total magnetization: 0.152 μB/atom
- Raw formation energy: 0.826 eV/atom
- Crystal system: tetragonal

a = 4.7454 Å, b = 4.7454 Å, c = 6.5244 Å
α = 90.00°, β = 90.00°, γ = 90.00°
With the nearest neighbours (Å) after each atom.
Positions (direct):
Sr: 0.0000 0.0000 0.0000  2 Mo 3.26, 4 Hf 3.36
Hf: 0.5000 0.5000 0.0000  4 Sr 3.36
Mo: 0.0000 0.0000 0.5000  4 Cl 2.37
Cl: 0.0000 0.5000 0.5000  2 Mo 2.37
Cl: 0.5000 0.0000 0.5000  2 Mo 2.37